## i
VASP calculation (PBE+U) on an optimized crystal structure of Sr2CeVO6.

a b c (Å): 5.879 5.879 5.879
angles (deg): 60.00 60.00 60.00
Site moments in Bohr magnetons follow the coordinates.
Fractional positions:
1 O 0.266 0.266 0.734  -0.04
2 Sr 0.750 0.750 0.750  0.00
3 Sr 0.250 0.250 0.250  0.00
4 Ce 0.000 0.000 0.000  0.12
5 O 0.734 0.266 0.266  -0.04
6 O 0.266 0.734 0.734  -0.04
7 V 0.500 0.500 0.500  1.00
8 O 0.734 0.734 0.266  -0.04
9 O 0.266 0.734 0.266  -0.04
10 O 0.734 0.266 0.734  -0.04

***

## ii
VASP calculation (PBE+U) on an optimized crystal structure of Sr2CeVO6.

a b c (Å): 5.851 5.906 8.188
angles (deg): 90.00 89.90 90.00
Site moments in Bohr magnetons follow the coordinates.
Fractional positions:
1 O 0.731 0.292 0.541  0.00
2 O 0.269 0.708 0.459  0.00
3 O 0.769 0.792 0.959  0.00
4 O 0.294 0.730 0.044  0.00
5 O 0.706 0.270 0.956  0.00
6 Sr 0.011 0.967 0.250  0.00
7 Sr 0.511 0.533 0.750  0.00
8 O 0.422 0.981 0.774  -0.03
9 V 0.500 0.000 0.000  1.00
10 Ce 0.000 0.500 0.000  0.03
11 O 0.206 0.230 0.456  0.00
12 O 0.578 0.019 0.226  -0.03
13 Sr 0.989 0.033 0.750  0.00
14 O 0.231 0.208 0.041  0.00
15 O 0.922 0.519 0.274  -0.03
16 Ce 0.500 0.000 0.500  0.03
17 Sr 0.489 0.467 0.250  0.00
18 V 0.000 0.500 0.500  1.00
19 O 0.794 0.770 0.544  0.00
20 O 0.078 0.481 0.726  -0.03

***

Going by the computed energies, the most stable comes first: ii, i.